Entry from the Alexandria database: Ta4TeCl after structural relaxation (GGA-PBE).

Cell lengths 7.964, 7.964, 7.964 Å; angles 90.00, 90.00, 90.00 degrees
Space group F-43m (No. 216)
Symmetry-distinct sites (fractional):
Ta: 0.122 0.122 0.378 x16
Te: 0.000 0.000 0.000 x4
Cl: 0.250 0.250 0.750 x4

As for the crystal system: cubic. The value obtained for the formation energy without anion corrections is 0.840 eV/atom. The theoretical density is 11.662 Mg/m³. The value obtained for the density of states at the Fermi level is 6.84 states/eV/f.u.